No. 1
{"formula": "Ba3MgFe2O9", "functional": "PBE+U", "state": "relaxed", "lattice_angstrom": [[-3.4138, 4.4492, 1.2014], [-0.9190, -5.0776, 2.5033], [4.2579, 1.8381, 5.2915]], "species": ["O", "O", "O", "Mg", "Ba", "O", "O", "Fe", "O", "O", "Ba", "O", "Fe", "O", "Ba"], "fractional_positions": [[0.5000, 0.5000, 0.0000], [0.6547, 0.8273, 0.3232], [0.1727, 0.3453, 0.3232], [0.0000, 0.0000, 0.5000], [0.0000, 0.0000, 0.0000], [0.0000, 0.5000, 0.0000], [0.1727, 0.8273, 0.3232], [0.3333, 0.6667, 0.1681], [0.8273, 0.1727, 0.6768], [0.8273, 0.6547, 0.6768], [0.6667, 0.3333, 0.3333], [0.5000, 0.0000, 0.0000], [0.6667, 0.3333, 0.8319], [0.3453, 0.1727, 0.6768], [0.3333, 0.6667, 0.6667]], "spacegroup": "P-3m1 (164)", "energy_ev_per_cell": -91.58, "mass_density_g_cm3": 5.7}

=====

No. 2
{"formula": "Ba2Mg2Tl2Fe3O10", "functional": "PBE+U", "state": "relaxed", "lattice_angstrom": [[3.9306, -0.0034, -0.0269], [-0.0525, 3.9645, -0.0113], [-1.8061, -1.9251, 17.8399]], "species": ["Mg", "O", "Fe", "Ba", "O", "O", "Tl", "O", "O", "O", "Ba", "Fe", "O", "Fe", "O", "Tl", "O", "Mg", "O"], "fractional_positions": [[0.0376, 0.1137, 0.0906], [0.2547, 0.1442, 0.4458], [0.6017, 0.6163, 0.1618], [0.1694, 0.1711, 0.2834], [0.3365, 0.1773, 0.0005], [0.1022, 0.6021, 0.1588], [0.7446, 0.8049, 0.4367], [0.6111, 0.1121, 0.1588], [0.4514, 0.9539, 0.8423], [0.8877, 0.7289, 0.0003], [0.8859, 0.8881, 0.7177], [0.3993, 0.6633, 0.0003], [0.8090, 0.6982, 0.5553], [0.4389, 0.4551, 0.8389], [0.3704, 0.3579, 0.6849], [0.3084, 0.3686, 0.5644], [0.6864, 0.6736, 0.3163], [0.9446, 0.0272, 0.9108], [0.9421, 0.4424, 0.8417]], "spacegroup": "P1 (1)", "energy_ev_per_cell": -109.11, "mass_density_g_cm3": 6.3}

=====

No. 3
{"formula": "Ba2Y2MgFe4O10", "functional": "PBE+U", "state": "relaxed", "lattice_angstrom": [[-1.1429, -3.3644, -0.9587], [5.9316, -3.1564, 4.0054], [-4.8411, -1.0610, 9.4945]], "species": ["O", "O", "Fe", "Fe", "Y", "Fe", "O", "Y", "O", "Fe", "Ba", "O", "O", "O", "Mg", "Ba", "O", "O", "O"], "fractional_positions": [[0.5000, 0.9749, 0.2331], [0.5000, 0.6959, 0.9868], [0.5000, 0.7384, 0.8077], [0.5000, 0.3139, 0.3731], [0.0000, 0.5562, 0.5825], [0.5000, 0.2711, 0.7751], [0.5000, 0.5549, 0.7104], [0.0000, 0.9590, 0.3421], [0.5000, 0.5249, 0.4454], [0.5000, 0.6726, 0.2712], [0.0000, 0.9651, 0.0123], [0.0000, 0.7036, 0.2318], [0.5000, 0.2428, 0.9618], [0.0000, 0.2488, 0.3337], [0.0000, 0.0206, 0.6619], [0.0000, 0.4461, 0.0523], [0.0000, 0.8545, 0.5389], [0.5000, 0.9844, 0.7549], [0.0000, 0.2724, 0.6667]], "spacegroup": "Pm (6)", "energy_ev_per_cell": -132.29, "mass_density_g_cm3": 4.7}